Density functional theory data (PBE-GGA) for a relaxed structure of LiFe3Si.

Geometry as POSCAR:
```
LiFe3Si
1.0
3.929 0.000 0.000
0.000 3.929 0.000
0.000 0.000 3.929
Li Fe Si
1 3 1
Cartesian
0.000 0.000 0.000
1.964 0.000 0.000
0.000 1.964 0.000
0.000 0.000 1.964
1.964 1.964 1.964
```

Output
Space group = No. 221
Calculated volume = 12.13 A^3/atom
E_form (uncorrected) = 903 meV per atom
Energy = -5.64 eV per atom
Mass density = 5.5 g/cm³